Record 1
Sc2Al4Tc | GGA-PBE | relaxed

Crystal system: tetragonal
Space-group type: No. 139
Magnetization, μB/cell: 0.000
DOS at the Fermi energy, states/eV/atom: 0.475
Formation energy from the elements, meV/atom: -16

abc: 4.622 4.622 7.760
angles: 72.67 72.67 90.00
Element x y z (fractional)
Sc: 0.373 0.373 0.255
Al: 0.824 0.824 0.352
Sc: 0.627 0.627 0.745
Al: 0.176 0.176 0.648
Al: 0.500 0.000 0.000
Al: 0.000 0.500 0.000
Tc: 0.000 0.000 0.000

Record 2
Sc2AlTc | GGA-PBE | relaxed

Crystal system: orthorhombic
Space-group type: No. 44
Magnetization, μB/cell: 0.000
Energy above the lowest structure with this stoichiometry, eV per atom: 0.0936
DOS at the Fermi energy, states/eV/atom: 0.753
Formation energy from the elements, meV/atom: -284

abc: 5.487 5.487 5.487
angles: 143.46 130.66 62.93
Element x y z (fractional)
Tc: 0.486 0.486 0.000
Sc: 0.731 0.231 0.500
Al: 0.277 0.777 0.500
Sc: 0.006 0.006 0.000

Record 3
Sc4AlTc2 | GGA-PBE | relaxed

Crystal system: orthorhombic
Space-group type: No. 63
Magnetization, μB/cell: 0.000
Energy above the lowest structure with this stoichiometry, eV per atom: 0.0000
DOS at the Fermi energy, states/eV/atom: 0.932
Formation energy from the elements, meV/atom: -128

abc: 4.847 4.847 13.409
angles: 90.00 90.00 120.01
Element x y z (fractional)
Sc: 0.167 0.833 0.868
Sc: 0.500 0.500 0.000
Sc: 0.166 0.834 0.250
Tc: 0.833 0.167 0.951
Tc: 0.167 0.833 0.451
Al: 0.500 0.500 0.750
Al: 0.500 0.500 0.250
Tc: 0.167 0.833 0.049
Sc: 0.500 0.500 0.500
Sc: 0.833 0.167 0.132
Tc: 0.833 0.167 0.549
Sc: 0.167 0.833 0.632
Sc: 0.834 0.166 0.750
Sc: 0.833 0.167 0.368

Record 4
Sc2AlTc2 | GGA-PBE | relaxed

Crystal system: tetragonal
Space-group type: No. 127
Magnetization, μB/cell: 0.000
DOS at the Fermi energy, states/eV/atom: 1.142
Formation energy from the elements, meV/atom: -252

abc: 6.570 6.570 4.269
angles: 90.00 90.00 90.00
Element x y z (fractional)
Al: 0.500 0.500 0.000
Sc: 0.325 0.175 0.500
Tc: 0.870 0.630 0.000
Sc: 0.675 0.825 0.500
Sc: 0.825 0.325 0.500
Tc: 0.130 0.370 0.000
Tc: 0.370 0.870 0.000
Sc: 0.175 0.675 0.500
Al: 0.000 0.000 0.000
Tc: 0.630 0.130 0.000

Record 5
ScAlTc | GGA-PBE | relaxed

Crystal system: trigonal
Space-group type: No. 156
Magnetization, μB/cell: 0.000
Energy above the lowest structure with this stoichiometry, eV per atom: 0.2444
DOS at the Fermi energy, states/eV/atom: 1.269
Formation energy from the elements, meV/atom: -250

abc: 4.494 4.494 2.872
angles: 90.00 90.00 120.00
Element x y z (fractional)
Al: 0.000 0.000 0.942
Sc: 0.333 0.667 0.380
Tc: 0.667 0.333 0.678

Record 6
ScAl2Tc2 | GGA-PBE | relaxed

Crystal system: tetragonal
Space-group type: No. 139
Magnetization, μB/cell: 0.000
Energy above the lowest structure with this stoichiometry, eV per atom: 0.3440
DOS at the Fermi energy, states/eV/atom: 0.876
Formation energy from the elements, meV/atom: -48

abc: 4.008 4.008 6.205
angles: 71.16 71.16 90.00
Element x y z (fractional)
Tc: 0.604 0.604 0.791
Al: 0.250 0.750 0.500
Tc: 0.396 0.396 0.209
Sc: 0.000 0.000 0.000
Al: 0.750 0.250 0.500

no.,ρ (Mg/m³)
1,3.27
2,4.84
3,4.90
4,5.64
5,5.62
6,5.52